Density functional theory data (PBE) for crystalline Tb2NdTe4 at its relaxed geometry.

abc: 4.3093 7.5274 15.0607
angles: 90.00 90.00 106.63
Element x y z (fractional)
Tb 0.1312 0.2624 0.4319
Tb 0.8688 0.7376 0.9319
Tb 0.1312 0.2624 0.0681
Tb 0.8688 0.7376 0.5681
Nd 0.6257 0.2514 0.7500
Nd 0.3743 0.7486 0.2500
Te 0.7762 0.5525 0.1207
Te 0.7762 0.5525 0.3793
Te 0.2238 0.4475 0.8793
Te 0.2238 0.4475 0.6207
Te 0.9622 0.9245 0.7500
Te 0.0378 0.0755 0.2500
Te 0.5000 0.0000 0.0000
Te 0.5000 0.0000 0.5000

Formation energy from raw total energies = -9.8 eV per formula unit
Magnetization = 0.000 μB/f.u.

***

Density functional theory data (PBE) for crystalline TbNdTe2 at its relaxed geometry.

abc: 4.5578 6.9914 9.9694
angles: 90.01 89.80 89.96
Element x y z (fractional)
Tb 0.2054 0.9417 0.1938
Tb 0.6965 0.4418 0.0222
Nd 0.1988 0.7963 0.7801
Nd 0.7026 0.2962 0.4359
Te 0.7054 0.6710 0.2741
Te 0.6995 0.5244 0.7086
Te 0.2024 0.0244 0.5073
Te 0.1972 0.1710 0.9418

Formation energy from raw total energies = -3.8 eV per formula unit
Magnetization = 0.000 μB/f.u.

***

Density functional theory data (PBE) for crystalline TbNd4Te4 at its relaxed geometry.

abc: 7.9921 7.9921 7.6441
angles: 121.52 121.52 90.00
Element x y z (fractional)
Tb 0.0000 0.0000 0.0000
Nd 0.5000 0.0000 0.0000
Nd 0.0000 0.5000 0.0000
Nd 0.3285 0.3285 0.6571
Nd 0.6715 0.6715 0.3429
Te 0.6321 0.6321 0.7224
Te 0.3679 0.9096 0.2776
Te 0.0904 0.0904 0.7224
Te 0.9096 0.3679 0.2776

Formation energy from raw total energies = -7.7 eV per formula unit
Magnetization = 0.004 μB/f.u.

***

Density functional theory data (PBE) for crystalline TbNdTe at its relaxed geometry.

abc: 5.5887 6.4850 5.5540
angles: 90.00 120.21 90.00
Element x y z (fractional)
Nd 0.3347 0.7500 0.6694
Nd 0.6653 0.2500 0.3306
Te 0.3310 0.2500 0.6620
Te 0.6690 0.7500 0.3380
Tb 0.0000 0.0000 0.0000
Tb 0.0000 0.5000 0.0000

Formation energy from raw total energies = -2.0 eV per formula unit
Magnetization = 0.000 μB/f.u.

***

Density functional theory data (PBE) for crystalline TbNdTe2 at its relaxed geometry.

abc: 3.8332 3.8332 7.6729
angles: 90.00 90.00 90.00
Last column: magnetic moment on the atom in μB.
Element x y z (fractional)
Nd 0.5000 0.5000 0.0000  0.17
Te 0.0000 0.0000 0.7434  -0.01
Te 0.0000 0.0000 0.2566  -0.01
Tb 0.5000 0.5000 0.5000  0.23

Formation energy from raw total energies = -5.0 eV per formula unit
Magnetization = 0.672 μB/f.u.

***

Density functional theory data (PBE) for crystalline TbNdTe2 at its relaxed geometry.

abc: 4.4214 4.4214 7.7240
angles: 73.37 73.37 60.00
Element x y z (fractional)
Nd 0.5000 0.5000 0.5000
Te 0.2536 0.2536 0.2393
Te 0.7464 0.7464 0.7607
Tb 0.0000 0.0000 0.0000

Formation energy from raw total energies = -5.5 eV per formula unit
Magnetization = 0.000 μB/f.u.

***

Density functional theory data (PBE) for crystalline TbNd4Te2 at its relaxed geometry.

abc: 5.5778 5.5778 9.6114
angles: 73.13 73.13 60.00
Element x y z (fractional)
Tb 0.5000 0.5000 0.5000
Nd 0.7319 0.7319 0.8042
Nd 0.8672 0.8672 0.3984
Nd 0.2681 0.2681 0.1958
Nd 0.1328 0.1328 0.6016
Te 0.6138 0.6138 0.1586
Te 0.3862 0.3862 0.8414

Formation energy from raw total energies = -4.1 eV per formula unit
Magnetization = 0.000 μB/f.u.

***

Density functional theory data (PBE) for crystalline TbNdTe at its relaxed geometry.

abc: 4.0694 11.2679 8.6685
angles: 93.31 103.58 90.00
Element x y z (fractional)
Tb 0.7492 0.3378 0.4984
Tb 0.1913 0.0796 0.3827
Tb 0.2508 0.6622 0.5016
Tb 0.8087 0.9204 0.6173
Nd 0.9749 0.6475 0.9499
Nd 0.6141 0.8399 0.2283
Nd 0.3859 0.1601 0.7717
Nd 0.0251 0.3525 0.0501
Te 0.6191 0.5432 0.2383
Te 0.4250 0.8406 0.8500
Te 0.3809 0.4568 0.7617
Te 0.5750 0.1594 0.1500

Formation energy from raw total energies = -2.3 eV per formula unit
Magnetization = 0.000 μB/f.u.